Density functional theory data (PBE) for an optimized crystal structure of RbCa3Mg.

Unit cell a=6.2440 b=6.2440 c=6.2440 alpha=90.00 beta=90.00 gamma=90.00
Space group Pm-3m (No. 221)
Symmetry-distinct sites (fractional):
Rb  0.0000  0.0000  0.0000
Ca  0.0000  0.0000  0.5000
Mg  0.5000  0.5000  0.5000

## Properties
Energy relative to the elements   5.26 eV per formula unit
V   48.69 Å³/atom
Distance to the lowest polymorph of the same formula   0.795 eV per atom
DOS(E_F)   8.50 states/eV per cell